Entry 1:
First-principles (PBE) data for K2TlRe after structural relaxation, as listed in Alexandria.

Results
Calculated volume   25.7 A^3/atom
Formation enthalpy at 0 K   1175 meV/atom
Total DFT energy (no corrections)   -3.08 eV per atom

a = 5.920 Å, b = 11.681 Å, c = 2.970 Å
α = 90.00°, β = 90.00°, γ = 90.00°
Space group Cmmm (No. 65)
Inequivalent atoms, fractional coordinates:
K1 0.250 0.250 0.000 x4
Tl1 0.000 0.000 0.500 x2
Re1 0.000 0.500 0.500 x2

Entry 2:
First-principles (PBE) data for KTlRe2 after structural relaxation, as listed in Alexandria.

Results
Calculated volume   25.5 A^3/atom
Formation enthalpy at 0 K   1172 meV/atom
Total DFT energy (no corrections)   -5.92 eV per atom

a = 3.303 Å, b = 5.613 Å, c = 10.986 Å
α = 90.00°, β = 90.00°, γ = 90.00°
Space group Imm2 (No. 44)
Inequivalent atoms, fractional coordinates:
K1 0.000 0.000 0.000 x2
Tl1 0.000 0.500 0.796 x2
Re1 0.000 0.000 0.552 x2
Re2 0.000 0.500 0.200 x2

Entry 3:
First-principles (PBE) data for KTl2Re after structural relaxation, as listed in Alexandria.

Results
Calculated volume   30.8 A^3/atom
Formation enthalpy at 0 K   876 meV/atom
Total DFT energy (no corrections)   -3.69 eV per atom

a = 3.844 Å, b = 3.844 Å, c = 8.339 Å
α = 90.00°, β = 90.00°, γ = 90.00°
Space group P4mm (No. 99)
Inequivalent atoms, fractional coordinates:
K1 0.000 0.000 0.000 x1
Tl1 0.000 0.000 0.394 x1
Tl2 0.500 0.500 0.676 x1
Re1 0.500 0.500 0.353 x1

| no. | polymorph energy (0 for the lowest one) (eV per atom) |
| --- | --- |
| 1 | 0.250 |
| 2 | 0.566 |
| 3 | 0.202 |